Density functional theory data (PBE+U) for a geometry-optimized WCI2O structure.

Cell and atoms, written as CIF:
```
data_WCI2O
_chemical_formula_sum 'W1 C1 I2 O1'
_space_group_name_H-M_alt 'P 4/m m m'
_space_group_IT_number 123
_space_group_name_Hall '-P 4 2'
_cell_length_a 5.567
_cell_length_b 5.567
_cell_length_c 3.337
_cell_angle_alpha 90.00
_cell_angle_beta 90.00
_cell_angle_gamma 90.00
loop_
_atom_site_label
_atom_site_type_symbol
_atom_site_fract_x
_atom_site_fract_y
_atom_site_fract_z
W1 W 0.000 0.000 0.000
C1 C 0.500 0.500 0.500
I1 I 0.000 0.500 0.500
O1 O 0.500 0.500 0.000
```

Calculated values
- excess energy over the best structure of this formula in the dataset (kJ/mol of formula units) = 212